This record from OQMD describes crystalline Na10CdSn12 at its relaxed geometry. The functional is PBE.

Properties
calculated volume	30.64	A^3/atom
final energy	-0.2099	Ry/atom

a b c (Å): 11.212 11.212 11.212
angles (deg): 90.00 90.00 90.00
Space group I-43m (No. 217)
Symmetry-distinct sites (fractional):
Na  0.000  0.250  0.500 [12 per cell]
Na  0.190  0.190  0.810 [8 per cell]
Cd  0.000  0.000  0.000 [2 per cell]
Sn  0.091  0.091  0.281 [24 per cell]

This record from OQMD describes crystalline CsHgPO at its relaxed geometry. The functional is PBE.

Properties
excess energy over the best structure of this formula in the dataset	49.2	meV/atom
calculated volume	26.83	A^3/atom

a b c (Å): 3.512 7.297 8.375
angles (deg): 90.00 90.00 90.00
Space group Pmc2_1 (No. 26)
Symmetry-distinct sites (fractional):
Cs  0.000  0.134  0.000 [2 per cell]
Hg  0.500  0.375  0.377 [2 per cell]
P  0.500  0.373  0.676 [2 per cell]
O  0.000  0.191  0.326 [2 per cell]

This record from OQMD describes crystalline Tm3AsSe2 at its relaxed geometry. The functional is PBE.

Properties
magnetization	0.01	μB per cell
excess energy over the best structure of this formula in the dataset	0.0	meV/atom
calculated volume	23.10	A^3/atom

a b c (Å): 4.020 5.680 12.140
angles (deg): 90.00 90.00 90.00
Space group Immm (No. 71)
Symmetry-distinct sites (fractional):
Tm  0.000  0.000  0.000 [2 per cell]
Tm  0.000  0.000  0.341 [4 per cell]
As  0.000  0.500  0.000 [2 per cell]
Se  0.000  0.500  0.331 [4 per cell]

This record from OQMD describes crystalline AcErLu at its relaxed geometry. The functional is PBE.

Properties
magnetization	0.04	μB per cell
excess energy over the best structure of this formula in the dataset	181.6	meV/atom
ΔH_f (0 K)	83.8	kJ/mol of atoms
calculated volume	41.61	A^3/atom

a b c (Å): 7.933 7.933 7.933
angles (deg): 90.00 90.00 90.00
Space group F-43m (No. 216)
Symmetry-distinct sites (fractional):
Ac  0.000  0.000  0.000 [4 per cell]
Er  0.250  0.250  0.750 [4 per cell]
Lu  0.250  0.250  0.250 [4 per cell]

This record from OQMD describes crystalline Dy3NiGe5 at its relaxed geometry. The functional is PBE.

Properties
magnetization	0.00	μB per cell
calculated volume	19.76	A^3/atom
final energy	-0.3931	Ry/atom

a b c (Å): 7.1011 7.1011 4.0727
angles (deg): 90.00 90.00 120.00
Space group P-62m (No. 189)
Symmetry-distinct sites (fractional):
Dy  0.0000  0.6075  0.0000 [3 per cell]
Ni  0.0000  0.0000  0.0000 [1 per cell]
Ge  0.0000  0.2314  0.5000 [3 per cell]
Ge  0.3333  0.6667  0.5000 [2 per cell]

This record from OQMD describes crystalline Pm2OsO6 at its relaxed geometry. The functional is PBE.

Properties
magnetization	4.00	μB per cell
calculated volume	13.60	A^3/atom
final energy	-0.5848	Ry/atom

a b c (Å): 5.410 6.095 8.731
angles (deg): 90.00 121.73 90.00
Space group P2_1/c (No. 14)
Symmetry-distinct sites (fractional):
Pm  0.208  0.093  0.249 [4 per cell]
Os  0.500  0.000  0.000 [2 per cell]
O  0.145  0.158  0.948 [4 per cell]
O  0.293  0.724  0.932 [4 per cell]
O  0.394  0.049  0.757 [4 per cell]